# 1
VASP calculation (PBE) on an optimized crystal structure of La8As3SBr4.

Results
Space group = R-3m, No. 166

abc: 8.810 8.810 8.810
angles: 58.83 58.83 58.83
Element x y z (fractional)
La  0.240  0.240  0.240
La  0.250  0.731  0.731
La  0.269  0.269  0.750
La  0.269  0.750  0.269
La  0.731  0.250  0.731
La  0.731  0.731  0.250
La  0.750  0.269  0.269
La  0.760  0.760  0.760
As  0.000  0.000  0.500
As  0.000  0.500  0.000
As  0.500  0.000  0.000
S  0.500  0.500  0.500
Br  0.000  0.000  0.000
Br  0.000  0.500  0.500
Br  0.500  0.000  0.500
Br  0.500  0.500  0.000

# 2
VASP calculation (PBE) on an optimized crystal structure of La6As3S2Br.

Results
Space group = C2/m, No. 12

abc: 9.588 9.588 8.594
angles: 102.11 102.11 25.97
Element x y z (fractional)
La  0.003  0.003  0.267
La  0.326  0.326  0.909
La  0.332  0.332  0.418
La  0.668  0.668  0.582
La  0.674  0.674  0.091
La  0.997  0.997  0.733
As  0.163  0.163  0.834
As  0.500  0.500  0.500
As  0.837  0.837  0.166
S  0.167  0.167  0.333
S  0.833  0.833  0.667
Br  0.500  0.500  0.000

# 3
VASP calculation (PBE) on an optimized crystal structure of La4Sb2AsBr.

Results
Space group = P2/m, No. 10

abc: 7.731 4.520 7.830
angles: 90.00 109.62 90.00
Element x y z (fractional)
La  0.239  0.000  0.236
La  0.247  0.500  0.762
La  0.753  0.500  0.238
La  0.761  0.000  0.764
Sb  0.500  0.000  0.000
Sb  0.500  0.500  0.500
As  0.000  0.500  0.000
Br  0.000  0.000  0.500

# 4
VASP calculation (PBE) on an optimized crystal structure of La4SbAs2Br.

Results
Space group = P2/m, No. 10

abc: 7.616 4.421 7.800
angles: 90.00 109.05 90.00
Element x y z (fractional)
La  0.237  0.000  0.223
La  0.254  0.500  0.771
La  0.746  0.500  0.229
La  0.763  0.000  0.777
Sb  0.000  0.000  0.500
As  0.000  0.500  0.000
As  0.500  0.000  0.000
Br  0.500  0.500  0.500

How do the records compare in ρ? In the order shown, they have 5.956, 5.909, 6.146, 6.069 g cm⁻³.
How do the records compare in D(E_F)? In the order shown, they have 8.1, 5.7, 3.5, 3.7 states/eV/f.u..
How do the records compare in energy relative to the elements, uncorrected? In the order shown, they have -1597, -1775, -1407, -1516 meV per atom.